# NbSi3Hg GGA-PBE optimized geometry
# Energy above the most stable polymorph in this dataset = 0.000 eV/atom
# Density of states at the Fermi level = 2.67 states/eV per cell
# Formation energy from raw total energies = 0.60 eV per atom
data_NbSi3Hg
_cell_length_a 4.956
_cell_length_b 4.956
_cell_length_c 4.956
_cell_angle_alpha 90.00
_cell_angle_beta 90.00
_cell_angle_gamma 90.00
_space_group_name_H-M_alt 'P 1'
_space_group_IT_number 1
_space_group_name_Hall 'P 1'
loop_
_atom_site_label
_atom_site_type_symbol
_atom_site_fract_x
_atom_site_fract_y
_atom_site_fract_z
_atom_site_occupancy
Nb1 Nb 0.000 0.000 0.000 1
Si1 Si 0.000 0.500 0.000 1
Si2 Si 0.000 0.000 0.500 1
Si3 Si 0.500 0.000 0.000 1
Hg1 Hg 0.500 0.500 0.500 1